(1)
Computed, not measured: a geometry-optimized TeMo2C structure at the GGA-PBEsol level of DFT.

Computed properties:
SG   Fm-3m, No. 225
Energy relative to the elements, uncorrected   1.10 eV/atom
Theoretical density   9.7 g/cm³
DFT total energy   -8.074 eV per atom

a b c (Å): 6.1069 6.1069 6.1069
angles (deg): 90.00 90.00 90.00
Last column: nearest neighbours and their distance in Å.
Sites, in units of the cell vectors:
1 Te 0.0000 0.0000 0.0000  8 Mo 2.64
2 Te 0.0000 0.5000 0.5000  8 Mo 2.64
3 Te 0.5000 0.0000 0.5000  8 Mo 2.64
4 Te 0.5000 0.5000 0.0000  8 Mo 2.64
5 Mo 0.2500 0.2500 0.2500  4 Te 2.64, 4 C 2.64
6 Mo 0.2500 0.2500 0.7500  4 C 2.64, 4 Te 2.64
7 Mo 0.2500 0.7500 0.2500  4 C 2.64, 4 Te 2.64
8 Mo 0.2500 0.7500 0.7500  4 Te 2.64, 4 C 2.64
9 Mo 0.7500 0.2500 0.2500  4 C 2.64, 4 Te 2.64
10 Mo 0.7500 0.2500 0.7500  4 Te 2.64, 4 C 2.64
11 Mo 0.7500 0.7500 0.2500  4 Te 2.64, 4 C 2.64
12 Mo 0.7500 0.7500 0.7500  4 C 2.64, 4 Te 2.64
13 C 0.0000 0.0000 0.5000  8 Mo 2.64
14 C 0.0000 0.5000 0.0000  8 Mo 2.64
15 C 0.5000 0.0000 0.0000  8 Mo 2.64
16 C 0.5000 0.5000 0.5000  8 Mo 2.64

***

(2)
Computed, not measured: a geometry-optimized TiMoC3 structure at the GGA-PBEsol level of DFT.

Computed properties:
Formation enthalpy at 0 K   1.5231 eV per atom
SG   Pm-3m, No. 221
Theoretical density   4.9 g/cm³
DFT total energy   -8.281 eV per atom

a b c (Å): 3.9425 3.9425 3.9425
angles (deg): 90.00 90.00 90.00
Last column: nearest neighbours and their distance in Å.
Sites, in units of the cell vectors:
1 Ti 0.0000 0.0000 0.0000  12 C 2.79
2 Mo 0.5000 0.5000 0.5000  6 C 1.97
3 C 0.0000 0.5000 0.5000  2 Mo 1.97
4 C 0.5000 0.0000 0.5000  2 Mo 1.97
5 C 0.5000 0.5000 0.0000  2 Mo 1.97

***

(3)
Computed, not measured: a geometry-optimized MoWC2 structure at the GGA-PBEsol level of DFT.

Computed properties:
Formation enthalpy at 0 K   0.6772 eV per atom
SG   Cmmm, No. 65
Energy above the lowest structure with this stoichiometry   899.6 meV per atom
Theoretical density   11.2 g/cm³
DFT total energy   -10.539 eV per atom

a b c (Å): 2.9368 5.1370 5.9820
angles (deg): 90.00 90.00 90.00
Last column: nearest neighbours and their distance in Å.
Sites, in units of the cell vectors:
1 Mo 0.0000 0.0000 0.0000  4 C 2.09
2 Mo 0.5000 0.5000 0.0000  4 C 2.09
3 W 0.0000 0.0000 0.5000  4 C 2.10
4 W 0.5000 0.5000 0.5000  4 C 2.10
5 C 0.0000 0.5000 0.2495  2 Mo 2.09, 2 W 2.10
6 C 0.0000 0.5000 0.7505  2 Mo 2.09, 2 W 2.10
7 C 0.5000 0.0000 0.2495  2 Mo 2.09, 2 W 2.10
8 C 0.5000 0.0000 0.7505  2 Mo 2.09, 2 W 2.10

***

(4)
Computed, not measured: a geometry-optimized MoWC2 structure at the GGA-PBEsol level of DFT.

Computed properties:
Formation enthalpy at 0 K   -0.2224 eV per atom
SG   Pmm2, No. 25
Energy above the lowest structure with this stoichiometry   0.0 meV per atom
Theoretical density   12.3 g/cm³
DFT total energy   -11.438 eV per atom

a b c (Å): 2.8166 2.8952 5.0214
angles (deg): 90.00 90.00 90.00
Last column: nearest neighbours and their distance in Å.
Sites, in units of the cell vectors:
1 Mo 0.0000 0.0000 0.0000  6 C 2.19
2 W 0.0000 0.5000 0.5010  6 C 2.18-2.19
3 C 0.5000 0.0000 0.3342  4 W 2.19, 2 Mo 2.19
4 C 0.5000 0.5000 0.8328  2 W 2.18, 4 Mo 2.19

***

(5)
Computed, not measured: a geometry-optimized MoW2C structure at the GGA-PBEsol level of DFT.

Computed properties:
Formation enthalpy at 0 K   1.1457 eV per atom
SG   Pmmm, No. 47
Theoretical density   14.6 g/cm³
DFT total energy   -11.111 eV per atom

a b c (Å): 3.0823 3.8469 4.5554
angles (deg): 90.00 90.00 90.00
Last column: nearest neighbours and their distance in Å.
Sites, in units of the cell vectors:
1 Mo 0.0000 0.0000 0.0000  4 W 2.46, 4 C 2.75
2 W 0.0000 0.5000 0.5000  4 C 2.46, 4 W 2.75
3 W 0.5000 0.5000 0.0000  4 Mo 2.46, 4 W 2.75
4 C 0.5000 0.0000 0.5000  4 W 2.46, 4 Mo 2.75

***

(6)
Computed, not measured: a geometry-optimized Mo3WC structure at the GGA-PBEsol level of DFT.

Computed properties:
Formation enthalpy at 0 K   3.2257 eV per atom
SG   Pm-3m, No. 221
Theoretical density   7.9 g/cm³
DFT total energy   -8.525 eV per atom

a b c (Å): 4.6626 4.6626 4.6626
angles (deg): 90.00 90.00 90.00
Last column: nearest neighbours and their distance in Å.
Sites, in units of the cell vectors:
1 Mo 0.0000 0.0000 0.5000  2 W 2.33
2 Mo 0.0000 0.5000 0.0000  2 W 2.33
3 Mo 0.5000 0.0000 0.0000  2 W 2.33
4 W 0.0000 0.0000 0.0000  6 Mo 2.33
5 C 0.5000 0.5000 0.5000  12 Mo 3.30

***

(7)
Computed, not measured: a geometry-optimized Mo2WC structure at the GGA-PBEsol level of DFT.

Computed properties:
Formation enthalpy at 0 K   0.3857 eV per atom
SG   P4/mmm, No. 123
Theoretical density   12.5 g/cm³
DFT total energy   -11.361 eV per atom

a b c (Å): 2.6841 2.6841 7.1438
angles (deg): 90.00 90.00 90.00
Last column: nearest neighbours and their distance in Å.
Sites, in units of the cell vectors:
1 Mo 0.0000 0.0000 0.1791  4 C 2.29, 1 Mo 2.56
2 Mo 0.0000 0.0000 0.8209  4 C 2.29, 1 Mo 2.56
3 W 0.5000 0.5000 0.5000  4 W 2.68, 8 Mo 2.98
4 C 0.5000 0.5000 0.0000  8 Mo 2.29

***

(8)
Computed, not measured: a geometry-optimized MoWC2 structure at the GGA-PBEsol level of DFT.

Computed properties:
Formation enthalpy at 0 K   -0.2078 eV per atom
SG   Imm2, No. 44
Energy above the lowest structure with this stoichiometry   14.6 meV per atom
Theoretical density   12.3 g/cm³
DFT total energy   -11.424 eV per atom

a b c (Å): 2.8546 2.8619 10.0265
angles (deg): 90.00 90.00 90.00
Last column: nearest neighbours and their distance in Å.
Sites, in units of the cell vectors:
1 Mo 0.0000 0.0000 0.0000  6 C 2.18-2.21
2 Mo 0.5000 0.5000 0.5000  6 C 2.18-2.21
3 W 0.0000 0.5000 0.7496  6 C 2.18-2.20
4 W 0.5000 0.0000 0.2496  6 C 2.18-2.20
5 C 0.0000 0.0000 0.5827  4 Mo 2.18, 2 W 2.20
6 C 0.0000 0.5000 0.3319  4 W 2.18, 2 Mo 2.21
7 C 0.5000 0.0000 0.8319  4 W 2.18, 2 Mo 2.21
8 C 0.5000 0.5000 0.0827  4 Mo 2.18, 2 W 2.20

***

(9)
Computed, not measured: a geometry-optimized Mo2WC structure at the GGA-PBEsol level of DFT.

Computed properties:
Formation enthalpy at 0 K   0.3284 eV per atom
SG   Cmmm, No. 65
Theoretical density   12.3 g/cm³
DFT total energy   -11.418 eV per atom

a b c (Å): 3.0842 4.5738 7.4088
angles (deg): 90.00 90.00 90.00
Last column: nearest neighbours and their distance in Å.
Sites, in units of the cell vectors:
1 Mo 0.0000 0.0000 0.1934  2 C 2.10
2 Mo 0.0000 0.0000 0.8066  2 C 2.10
3 Mo 0.5000 0.5000 0.1934  2 C 2.10
4 Mo 0.5000 0.5000 0.8066  2 C 2.10
5 W 0.0000 0.5000 0.5000  4 Mo 2.75, 4 W 2.76
6 W 0.5000 0.0000 0.5000  4 Mo 2.75, 4 W 2.76
7 C 0.0000 0.5000 0.0000  4 Mo 2.10
8 C 0.5000 0.0000 0.0000  4 Mo 2.10

***

(10)
Computed, not measured: a geometry-optimized MoW2C structure at the GGA-PBEsol level of DFT.

Computed properties:
Formation enthalpy at 0 K   1.1294 eV per atom
SG   P2/m, No. 10
Theoretical density   14.7 g/cm³
DFT total energy   -11.127 eV per atom

a b c (Å): 4.2187 3.0689 4.2747
angles (deg): 90.00 104.06 90.00
Last column: nearest neighbours and their distance in Å.
Sites, in units of the cell vectors:
1 Mo 0.0000 0.0000 0.0000  6 W 2.61, 4 C 2.63
2 W 0.5000 0.0000 0.5000  4 C 2.61, 2 Mo 2.61, 4 W 2.63
3 W 0.5000 0.5000 0.0000  4 Mo 2.61, 2 C 2.61, 4 W 2.63
4 C 0.0000 0.5000 0.5000  6 W 2.61, 4 Mo 2.63

***

no.,spin magnetization (μB/f.u.)
1,0.001
2,0.000
3,0.000
4,0.000
5,0.000
6,0.000
7,0.000
8,0.000
9,0.000
10,0.000